No. 1
Density functional theory data (GGA-PBE) for a relaxed LaZnGeBr crystal.

Structure (extended XYZ):
```
8
Lattice="-0.211 -0.869 4.249 -3.156 -2.554 1.539 7.021 -12.343 0.042" Properties=species:S:1:pos:R:3 pbc="T T T"
La 5.075 -9.666 0.493
La -1.421 -6.100 5.337
Zn 4.197 -13.828 4.035
Zn -0.543 -1.938 1.795
Ge -1.277 -3.612 3.635
Ge 4.932 -12.154 2.195
Br 1.759 -10.474 4.600
Br 1.895 -5.292 1.230
```

## Properties
The calculation puts the raw total energy at -4.140 eV/atom. As for the density: 5193 kg/m³. As for the energy relative to the elements, uncorrected: -1.017 eV per atom.

No. 2
Density functional theory data (GGA-PBE) for a relaxed Hg4PCl2F crystal.

Structure (extended XYZ):
```
16
Lattice="-5.297 6.144 -0.097 -1.528 0.394 -7.958 -1.082 -7.438 4.921" Properties=species:S:1:pos:R:3 pbc="T T T"
Hg -3.508 -5.605 -1.065
Hg -4.933 0.975 0.377
Hg -2.973 -1.875 -3.511
Hg -4.399 4.705 -2.069
Hg -6.212 -1.944 -1.275
Hg -5.802 0.828 -3.106
Hg -2.105 -1.728 -0.028
Hg -1.695 1.044 -1.859
P -3.954 -0.450 -1.567
P -7.907 -0.900 -3.134
Cl -4.177 3.466 -8.006
Cl -4.717 -0.252 -5.546
Cl -0.541 -3.719 2.461
Cl -4.494 -4.169 0.894
F -6.061 6.339 -4.076
F -6.601 2.623 -1.617
```

## Properties
The calculation puts the raw total energy at -1.859 eV/atom. As for the density: 7642 kg/m³. As for the energy relative to the elements, uncorrected: -0.337 eV per atom. The value obtained for the density of states at the Fermi level is 0.27 states/eV/atom.

Q: Among the records above, which one has the lowest energy relative to the elements, uncorrected?
A: LaZnGeBr

Q: Which formula does entry 1 have?
A: LaZnGeBr

Q: Which of these has the highest energy relative to the elements, uncorrected?
A: Hg4PCl2F